(1)
Computed, not measured: a geometry-optimized Np3Tl2GaO12 structure at the PBE level of DFT.

Energy relative to the elements, uncorrected (eV per formula unit): -40.2
Final energy (eV/atom): -8.13
Crystal system: trigonal
Symmetry: R-3m

The structure in POSCAR format:
```
Np3Tl2GaO12
1.0
-1.5526 -3.3772 6.4419
5.7339 -1.0536 4.6181
0.1525 4.2893 6.0739
O Np Ga Tl
12 3 1 2
Cartesian
2.8413 -2.7153 7.8921 O
0.4511 -2.1081 9.4664 O
-0.5673 0.5476 8.7812 O
0.4335 0.5370 13.1960 O
0.3500 2.7201 4.8638 O
3.9002 -0.6784 3.9378 O
5.0683 2.0150 12.0359 O
4.9010 -0.6891 8.3526 O
1.4925 2.5738 9.2417 O
3.8826 1.9667 7.6674 O
-0.7346 -2.1564 5.0979 O
3.9837 -2.8616 12.2700 O
0.0762 2.1446 3.0369 Np
-0.7763 -1.6886 3.2209 Np
2.8669 -0.5268 2.3090 Np
0.0000 0.0000 0.0000 Ga
2.6849 -0.0877 10.6148 Tl
1.6489 -0.0538 6.5190 Tl
```

(2)
Computed, not measured: a geometry-optimized TmNpGaO6 structure at the PBE level of DFT.

Energy relative to the elements, uncorrected (eV per formula unit): -23.0
Final energy (eV/atom): -8.13
Crystal system: trigonal
Symmetry: P-31c

The structure in POSCAR format:
```
TmNpGaO6
1.0
5.5108 0.0000 0.0000
-2.7554 4.7725 0.0000
0.0000 0.0000 8.7478
O Tm Ga Np
12 2 2 2
Cartesian
-1.7733 3.2831 7.6494 O
1.7733 3.2831 5.4723 O
0.9821 1.4894 3.2755 O
3.7299 0.1058 3.2755 O
0.7988 1.5952 7.6494 O
0.9745 4.6667 7.6494 O
-0.9745 4.6667 5.4723 O
1.9566 3.1773 1.0984 O
4.5287 1.4894 1.0984 O
-0.7988 1.5952 5.4723 O
1.7809 0.1058 1.0984 O
3.5542 3.1773 3.2755 O
2.7554 1.5908 6.5609 Tm
0.0000 3.1817 2.1870 Tm
0.0000 0.0000 4.3739 Ga
0.0000 0.0000 0.0000 Ga
0.0000 3.1817 6.5609 Np
2.7554 1.5908 2.1870 Np
```

Among the records above, which one has the lowest energy relative to the elements, uncorrected? Np3Tl2GaO12

What is the formula in the first record? Np3Tl2GaO12

Please write out number 2 again, unchanged.
Computed, not measured: a geometry-optimized TmNpGaO6 structure at the PBE level of DFT.

Energy relative to the elements, uncorrected (eV per formula unit): -23.0
Final energy (eV/atom): -8.13
Crystal system: trigonal
Symmetry: P-31c

The structure in POSCAR format:
```
TmNpGaO6
1.0
5.5108 0.0000 0.0000
-2.7554 4.7725 0.0000
0.0000 0.0000 8.7478
O Tm Ga Np
12 2 2 2
Cartesian
-1.7733 3.2831 7.6494 O
1.7733 3.2831 5.4723 O
0.9821 1.4894 3.2755 O
3.7299 0.1058 3.2755 O
0.7988 1.5952 7.6494 O
0.9745 4.6667 7.6494 O
-0.9745 4.6667 5.4723 O
1.9566 3.1773 1.0984 O
4.5287 1.4894 1.0984 O
-0.7988 1.5952 5.4723 O
1.7809 0.1058 1.0984 O
3.5542 3.1773 3.2755 O
2.7554 1.5908 6.5609 Tm
0.0000 3.1817 2.1870 Tm
0.0000 0.0000 4.3739 Ga
0.0000 0.0000 0.0000 Ga
0.0000 3.1817 6.5609 Np
2.7554 1.5908 2.1870 Np
```